Record 1
Density functional theory data (GGA-PBE) for crystalline CaSb2 at its relaxed geometry. Values from VASP.

Values from the calculation:
Formation energy (no corrections) ... -0.46 eV per atom
SG ... C2/m

Structure (Quantum ESPRESSO input):
```
&SYSTEM
  ibrav = 0, nat = 6, ntyp = 2
/
ATOMIC_SPECIES
Ca 40.08 Ca.upf
Sb 121.76 Sb.upf
ATOMIC_POSITIONS angstrom
Ca 0.437 0.000 2.291
Ca 10.937 0.000 5.600
Sb 3.629 0.000 3.061
Sb 4.637 0.000 0.189
Sb 6.737 0.000 7.703
Sb 7.745 0.000 4.831
CELL_PARAMETERS angstrom
6.104 -1.849 0.000
6.104 1.849 0.000
-0.835 0.000 7.892
```



Record 2
Density functional theory data (GGA-PBE) for crystalline DyFeC at its relaxed geometry. Values from VASP.

Values from the calculation:
DFT formation energy ... -27 meV per atom
SG ... P-6m2
E above lowest polymorph ... 147 meV per atom

Structure (Quantum ESPRESSO input):
```
&SYSTEM
  ibrav = 0, nat = 3, ntyp = 3
/
ATOMIC_SPECIES
Dy 162.50 Dy.upf
Fe 55.84 Fe.upf
C 12.01 C.upf
ATOMIC_POSITIONS angstrom
Dy 0.000 0.000 0.000
Fe 1.704 0.984 2.023
C 0.000 1.968 2.023
CELL_PARAMETERS angstrom
3.409 0.000 0.000
-1.704 2.952 0.000
0.000 0.000 4.046
```



Number 1: total moment 0.0 μB per formula unit. Number 2: total moment 0.0 μB per formula unit.